A plane-wave DFT calculation with PBE was carried out for Pm3Sm4Hg after structural relaxation.

Cell and atoms, written as CIF:
```
data_Pm3Sm4Hg
_chemical_formula_sum 'Pm3 Sm4 Hg1'
_symmetry_space_group_name_H-M 'P 4/m m m'
_symmetry_Int_Tables_number 123
_symmetry_space_group_name_Hall '-P 4 2'
_cell_length_a 3.6636
_cell_length_b 3.6636
_cell_length_c 19.3650
_cell_angle_alpha 90.00
_cell_angle_beta 90.00
_cell_angle_gamma 90.00
loop_
_atom_site_label
_atom_site_fract_x
_atom_site_fract_y
_atom_site_fract_z
Pm1 0.0000 0.0000 0.0000
Pm2 0.0000 0.0000 0.2644
Sm1 0.5000 0.5000 0.1321
Sm2 0.5000 0.5000 0.3958
Hg1 0.0000 0.0000 0.5000
```

Crystal system: tetragonal
ΔH_f (0 K) (eV per atom): -0.11
Calculated total energy (eV/cell): -34.3

A plane-wave DFT calculation with PBE was carried out for AgMoBr2 after structural relaxation.

Cell and atoms, written as CIF:
```
data_AgMoBr2
_chemical_formula_sum 'Ag2 Mo2 Br4'
_symmetry_space_group_name_H-M 'I m m m'
_symmetry_Int_Tables_number 71
_symmetry_space_group_name_Hall '-I 2 2'
_cell_length_a 3.1798
_cell_length_b 4.9366
_cell_length_c 14.3251
_cell_angle_alpha 90.00
_cell_angle_beta 90.00
_cell_angle_gamma 90.00
loop_
_atom_site_label
_atom_site_fract_x
_atom_site_fract_y
_atom_site_fract_z
Ag1 0.0000 0.0000 0.0000
Mo1 0.0000 0.0000 0.5000
Br1 0.0000 0.5000 0.1441
```

Energy relative to the lowest polymorph listed for this composition (meV/atom): 0.0
Crystal system: orthorhombic
Calculated total energy (eV/cell): -32.9
Raw formation energy (eV/f.u.): 0.576

A plane-wave DFT calculation with PBE was carried out for Sb3AsOs after structural relaxation.

Cell and atoms, written as CIF:
```
data_Sb3AsOs
_chemical_formula_sum 'Sb3 As1 Os1'
_symmetry_space_group_name_H-M 'P m -3 m'
_symmetry_Int_Tables_number 221
_symmetry_space_group_name_Hall '-P 4 2 3'
_cell_length_a 5.1329
_cell_length_b 5.1329
_cell_length_c 5.1329
_cell_angle_alpha 90.00
_cell_angle_beta 90.00
_cell_angle_gamma 90.00
loop_
_atom_site_label
_atom_site_fract_x
_atom_site_fract_y
_atom_site_fract_z
Sb1 0.0000 0.0000 0.5000
As1 0.5000 0.5000 0.5000
Os1 0.0000 0.0000 0.0000
```

Energy relative to the lowest polymorph listed for this composition (meV/atom): 0.0
Crystal system: cubic
Calculated total energy (eV/cell): -24.7
Raw formation energy (eV/f.u.): 3.556

A plane-wave DFT calculation with PBE was carried out for SbOs2W after structural relaxation.

Cell and atoms, written as CIF:
```
data_SbOs2W
_chemical_formula_sum 'Sb2 Os4 W2'
_symmetry_space_group_name_H-M 'C 1 m 1'
_symmetry_Int_Tables_number 8
_symmetry_space_group_name_Hall 'C -2y'
_cell_length_a 9.4729
_cell_length_b 2.9934
_cell_length_c 4.6918
_cell_angle_alpha 90.00
_cell_angle_beta 98.52
_cell_angle_gamma 90.00
loop_
_atom_site_label
_atom_site_fract_x
_atom_site_fract_y
_atom_site_fract_z
Sb1 0.0000 0.0000 0.0000
Os1 0.2581 0.5000 0.2234
Os2 0.4945 0.0000 0.5024
W1 0.2316 0.0000 0.6870
```

Crystal system: monoclinic
Calculated total energy (eV/cell): -75.1
Raw formation energy (eV/f.u.): 1.970

A plane-wave DFT calculation with PBE was carried out for SrEu2Sn after structural relaxation.

Cell and atoms, written as CIF:
```
data_SrEu2Sn
_chemical_formula_sum 'Sr1 Eu2 Sn1'
_symmetry_space_group_name_H-M 'P 4/m m m'
_symmetry_Int_Tables_number 123
_symmetry_space_group_name_Hall '-P 4 2'
_cell_length_a 5.1548
_cell_length_b 5.1548
_cell_length_c 5.2219
_cell_angle_alpha 90.00
_cell_angle_beta 90.00
_cell_angle_gamma 90.00
loop_
_atom_site_label
_atom_site_fract_x
_atom_site_fract_y
_atom_site_fract_z
Sr1 0.0000 0.0000 0.0000
Eu1 0.0000 0.5000 0.5000
Sn1 0.5000 0.5000 0.0000
```

Energy relative to the lowest polymorph listed for this composition (meV/atom): 0.0
Crystal system: tetragonal
ΔH_f (0 K) (eV per atom): -0.38
Calculated total energy (eV/cell): -27.8

A plane-wave DFT calculation with PBE was carried out for Ac2Ni4Sn3Ge after structural relaxation.

Cell and atoms, written as CIF:
```
data_Ac2Ni4Sn3Ge
_chemical_formula_sum 'Ac2 Ni4 Sn3 Ge1'
_symmetry_space_group_name_H-M 'P -4 m 2'
_symmetry_Int_Tables_number 115
_symmetry_space_group_name_Hall 'P -4 -2'
_cell_length_a 4.5203
_cell_length_b 4.5203
_cell_length_c 10.2504
_cell_angle_alpha 90.00
_cell_angle_beta 90.00
_cell_angle_gamma 90.00
loop_
_atom_site_label
_atom_site_fract_x
_atom_site_fract_y
_atom_site_fract_z
Ac1 0.0000 0.5000 0.2487
Ni1 0.0000 0.0000 0.0000
Ni2 0.0000 0.5000 0.6195
Ni3 0.5000 0.5000 0.0000
Sn1 0.0000 0.5000 0.8761
Sn2 0.5000 0.5000 0.5000
Ge1 0.0000 0.0000 0.5000
```

Crystal system: tetragonal
ΔH_f (0 K) (eV per atom): -0.53
Calculated total energy (eV/cell): -53.2

A plane-wave DFT calculation with PBE was carried out for CaBiP after structural relaxation.

Cell and atoms, written as CIF:
```
data_CaBiP
_chemical_formula_sum 'Ca4 Bi4 P4'
_symmetry_space_group_name_H-M 'C 1 2/m 1'
_symmetry_Int_Tables_number 12
_symmetry_space_group_name_Hall '-C 2y'
_cell_length_a 18.5269
_cell_length_b 3.7716
_cell_length_c 4.6026
_cell_angle_alpha 90.00
_cell_angle_beta 90.03
_cell_angle_gamma 90.00
loop_
_atom_site_label
_atom_site_fract_x
_atom_site_fract_y
_atom_site_fract_z
Ca1 0.0704 0.0000 0.2505
Bi1 0.2023 0.0000 0.7503
P1 0.0835 0.5000 0.7508
```

Crystal system: monoclinic
ΔH_f (0 K) (eV per atom): -0.49
Calculated total energy (eV/cell): -51.1

A plane-wave DFT calculation with PBE was carried out for IrPt2Cl after structural relaxation.

Cell and atoms, written as CIF:
```
data_IrPt2Cl
_chemical_formula_sum 'Ir4 Pt8 Cl4'
_symmetry_space_group_name_H-M 'I -4 2 d'
_symmetry_Int_Tables_number 122
_symmetry_space_group_name_Hall 'I -4 2bw'
_cell_length_a 7.1455
_cell_length_b 7.1455
_cell_length_c 5.3679
_cell_angle_alpha 90.00
_cell_angle_beta 90.00
_cell_angle_gamma 90.00
loop_
_atom_site_label
_atom_site_fract_x
_atom_site_fract_y
_atom_site_fract_z
Ir1 0.0000 0.0000 0.0000
Pt1 0.2464 0.7500 0.1250
Cl1 0.0000 0.0000 0.5000
```

Energy relative to the lowest polymorph listed for this composition (meV/atom): 467.0
Crystal system: tetragonal
Calculated total energy (eV/cell): -79.1
Raw formation energy (eV/f.u.): 3.017

A plane-wave DFT calculation with PBE was carried out for PmZn2Cu4 after structural relaxation.

Cell and atoms, written as CIF:
```
data_PmZn2Cu4
_chemical_formula_sum 'Pm2 Zn4 Cu8'
_symmetry_space_group_name_H-M 'I 4/m m m'
_symmetry_Int_Tables_number 139
_symmetry_space_group_name_Hall '-I 4 2'
_cell_length_a 7.2658
_cell_length_b 7.2658
_cell_length_c 5.2547
_cell_angle_alpha 90.00
_cell_angle_beta 90.00
_cell_angle_gamma 90.00
loop_
_atom_site_label
_atom_site_fract_x
_atom_site_fract_y
_atom_site_fract_z
Pm1 0.0000 0.0000 0.0000
Zn1 0.0000 0.5000 0.2500
Cu1 0.0000 0.2264 0.5000
```

Energy relative to the lowest polymorph listed for this composition (meV/atom): 450.3
Crystal system: tetragonal
ΔH_f (0 K) (eV per atom): 0.23
Calculated total energy (eV/cell): -44.1

A plane-wave DFT calculation with PBE was carried out for Y4Tm3Th5 after structural relaxation.

Cell and atoms, written as CIF:
```
data_Y4Tm3Th5
_chemical_formula_sum 'Y8 Tm6 Th10'
_symmetry_space_group_name_H-M 'C 1 2/m 1'
_symmetry_Int_Tables_number 12
_symmetry_space_group_name_Hall '-C 2y'
_cell_length_a 11.2706
_cell_length_b 5.4850
_cell_length_c 13.2965
_cell_angle_alpha 90.00
_cell_angle_beta 106.75
_cell_angle_gamma 90.00
loop_
_atom_site_label
_atom_site_fract_x
_atom_site_fract_y
_atom_site_fract_z
Y1 0.0459 0.0000 0.2771
Y2 0.1642 0.5000 0.7633
Tm1 0.0000 0.5000 0.5000
Tm2 0.2190 0.5000 0.3954
Th1 0.0000 0.0000 0.5000
Th2 0.0980 0.5000 0.1273
Th3 0.1419 0.0000 0.9699
```

Crystal system: monoclinic
ΔH_f (0 K) (eV per atom): 0.32
Calculated total energy (eV/cell): -145.0

A plane-wave DFT calculation with PBE was carried out for Ho2Pd3Pt3 after structural relaxation.

Cell and atoms, written as CIF:
```
data_Ho2Pd3Pt3
_chemical_formula_sum 'Ho2 Pd3 Pt3'
_symmetry_space_group_name_H-M 'P m m m'
_symmetry_Int_Tables_number 47
_symmetry_space_group_name_Hall '-P 2 2'
_cell_length_a 4.1058
_cell_length_b 4.1335
_cell_length_c 8.1776
_cell_angle_alpha 90.00
_cell_angle_beta 90.00
_cell_angle_gamma 90.00
loop_
_atom_site_label
_atom_site_fract_x
_atom_site_fract_y
_atom_site_fract_z
Ho1 0.0000 0.0000 0.2502
Pd1 0.0000 0.5000 0.0000
Pd2 0.5000 0.0000 0.0000
Pd3 0.5000 0.0000 0.5000
Pt1 0.0000 0.5000 0.5000
Pt2 0.5000 0.5000 0.2498
```

Crystal system: orthorhombic
ΔH_f (0 K) (eV per atom): -0.97
Calculated total energy (eV/cell): -50.6

A plane-wave DFT calculation with PBE was carried out for ThTl3I7 after structural relaxation.

Cell and atoms, written as CIF:
```
data_ThTl3I7
_chemical_formula_sum 'Th2 Tl6 I14'
_symmetry_space_group_name_H-M 'C 1 m 1'
_symmetry_Int_Tables_number 8
_symmetry_space_group_name_Hall 'C -2y'
_cell_length_a 12.8359
_cell_length_b 10.6205
_cell_length_c 9.2462
_cell_angle_alpha 90.00
_cell_angle_beta 119.39
_cell_angle_gamma 90.00
loop_
_atom_site_label
_atom_site_fract_x
_atom_site_fract_y
_atom_site_fract_z
Th1 0.0000 0.0000 0.0000
Tl1 0.3898 0.2846 0.4204
Tl2 0.4088 0.0000 0.9509
I1 0.0735 0.2418 0.2311
I2 0.0877 0.0000 0.7334
I3 0.2929 0.0000 0.2107
I4 0.2966 0.5000 0.1063
I5 0.3249 0.3016 0.7488
```

Crystal system: monoclinic
Calculated total energy (eV/cell): -70.7
Raw formation energy (eV/f.u.): -9.959